This record from the Alexandria database describes an optimized crystal structure of Ta2FeBr. The functional is GGA-PBE.

Structure (CIF):
```
data_Ta2FeBr
_cell_length_a 5.322
_cell_length_b 5.322
_cell_length_c 5.322
_cell_angle_alpha 144.83
_cell_angle_beta 127.09
_cell_angle_gamma 65.13
_space_group_name_H-M_alt 'P 1'
_space_group_IT_number 1
_space_group_name_Hall 'P 1'
loop_
_atom_site_label
_atom_site_fract_x
_atom_site_fract_y
_atom_site_fract_z
Ta1 0.245 0.245 0.000
Ta2 0.755 0.755 0.000
Fe1 0.000 0.500 0.500
Br1 0.500 0.000 0.500
```

Output
Crystal system: orthorhombic
Total magnetization in μB/cell: 2.21
Calculated volume in A^3/atom: 17.1
Formation energy without anion corrections in eV/atom: 0.66

***

This record from the Alexandria database describes an optimized crystal structure of TaFe2Br. The functional is GGA-PBE.

Structure (CIF):
```
data_TaFe2Br
_cell_length_a 7.965
_cell_length_b 7.965
_cell_length_c 7.965
_cell_angle_alpha 22.74
_cell_angle_beta 22.74
_cell_angle_gamma 22.74
_space_group_name_H-M_alt 'P 1'
_space_group_IT_number 1
_space_group_name_Hall 'P 1'
loop_
_atom_site_label
_atom_site_fract_x
_atom_site_fract_y
_atom_site_fract_z
Ta1 0.000 0.000 0.000
Fe1 0.254 0.254 0.254
Fe2 0.746 0.746 0.746
Br1 0.500 0.500 0.500
```

Output
Crystal system: trigonal
Total magnetization in μB/cell: 3.87
Calculated volume in A^3/atom: 16.6
Formation energy without anion corrections in eV/atom: 0.41

***

This record from the Alexandria database describes an optimized crystal structure of TaFe2Br. The functional is GGA-PBE.

Structure (CIF):
```
data_TaFe2Br
_cell_length_a 4.248
_cell_length_b 4.248
_cell_length_c 6.992
_cell_angle_alpha 109.61
_cell_angle_beta 109.61
_cell_angle_gamma 43.96
_space_group_name_H-M_alt 'P 1'
_space_group_IT_number 1
_space_group_name_Hall 'P 1'
loop_
_atom_site_label
_atom_site_fract_x
_atom_site_fract_y
_atom_site_fract_z
Ta1 0.000 0.000 0.000
Fe1 0.336 0.336 0.149
Fe2 0.664 0.664 0.851
Br1 0.500 0.500 0.500
```

Output
Crystal system: monoclinic
Total magnetization in μB/cell: 2.52
Calculated volume in A^3/atom: 20.4
Formation energy without anion corrections in eV/atom: 0.57

***

This record from the Alexandria database describes an optimized crystal structure of Ta2FeBr. The functional is GGA-PBE.

Structure (CIF):
```
data_Ta2FeBr
_cell_length_a 3.190
_cell_length_b 3.156
_cell_length_c 7.483
_cell_angle_alpha 90.00
_cell_angle_beta 90.06
_cell_angle_gamma 90.00
_space_group_name_H-M_alt 'P 1'
_space_group_IT_number 1
_space_group_name_Hall 'P 1'
loop_
_atom_site_label
_atom_site_fract_x
_atom_site_fract_y
_atom_site_fract_z
Ta1 0.000 0.000 0.000
Ta2 0.499 0.500 0.758
Fe1 0.500 0.500 0.157
Br1 0.497 0.000 0.466
```

Output
Crystal system: monoclinic
Total magnetization in μB/cell: 0.64
Calculated volume in A^3/atom: 18.8
Formation energy without anion corrections in eV/atom: 0.22

***

This record from the Alexandria database describes an optimized crystal structure of TaFe2Br. The functional is GGA-PBE.

Structure (CIF):
```
data_TaFe2Br
_cell_length_a 4.836
_cell_length_b 4.836
_cell_length_c 4.836
_cell_angle_alpha 131.74
_cell_angle_beta 131.74
_cell_angle_gamma 70.63
_space_group_name_H-M_alt 'P 1'
_space_group_IT_number 1
_space_group_name_Hall 'P 1'
loop_
_atom_site_label
_atom_site_fract_x
_atom_site_fract_y
_atom_site_fract_z
Ta1 0.000 0.000 0.000
Fe1 0.500 0.500 0.000
Fe2 0.750 0.250 0.500
Br1 0.250 0.750 0.500
```

Output
Crystal system: tetragonal
Total magnetization in μB/cell: 4.96
Calculated volume in A^3/atom: 15.4
Formation energy without anion corrections in eV/atom: 0.77

***

This record from the Alexandria database describes an optimized crystal structure of TaFe2Br. The functional is GGA-PBE.

Structure (CIF):
```
data_TaFe2Br
_cell_length_a 3.000
_cell_length_b 4.495
_cell_length_c 4.503
_cell_angle_alpha 90.00
_cell_angle_beta 90.00
_cell_angle_gamma 90.00
_space_group_name_H-M_alt 'P 1'
_space_group_IT_number 1
_space_group_name_Hall 'P 1'
loop_
_atom_site_label
_atom_site_fract_x
_atom_site_fract_y
_atom_site_fract_z
Ta1 0.000 0.000 0.000
Fe1 0.000 0.500 0.500
Fe2 0.500 0.500 0.000
Br1 0.500 0.000 0.500
```

Output
Crystal system: orthorhombic
Total magnetization in μB/cell: 4.00
Calculated volume in A^3/atom: 15.2
Formation energy without anion corrections in eV/atom: 0.71

***

This record from the Alexandria database describes an optimized crystal structure of TaFe2Br. The functional is GGA-PBE.

Structure (CIF):
```
data_TaFe2Br
_cell_length_a 2.971
_cell_length_b 2.971
_cell_length_c 8.198
_cell_angle_alpha 90.00
_cell_angle_beta 90.00
_cell_angle_gamma 112.93
_space_group_name_H-M_alt 'P 1'
_space_group_IT_number 1
_space_group_name_Hall 'P 1'
loop_
_atom_site_label
_atom_site_fract_x
_atom_site_fract_y
_atom_site_fract_z
Ta1 0.000 0.000 0.000
Fe1 0.500 0.500 0.243
Fe2 0.500 0.500 0.757
Br1 0.000 0.000 0.500
```

Output
Crystal system: orthorhombic
Total magnetization in μB/cell: 5.08
Calculated volume in A^3/atom: 16.7
Formation energy without anion corrections in eV/atom: 0.46

***

This record from the Alexandria database describes an optimized crystal structure of TaFe2Br. The functional is GGA-PBE.

Structure (CIF):
```
data_TaFe2Br
_cell_length_a 5.196
_cell_length_b 5.196
_cell_length_c 5.196
_cell_angle_alpha 145.15
_cell_angle_beta 129.02
_cell_angle_gamma 63.24
_space_group_name_H-M_alt 'P 1'
_space_group_IT_number 1
_space_group_name_Hall 'P 1'
loop_
_atom_site_label
_atom_site_fract_x
_atom_site_fract_y
_atom_site_fract_z
Ta1 0.000 0.000 0.000
Fe1 0.280 0.780 0.500
Fe2 0.492 0.492 0.000
Br1 0.724 0.224 0.500
```

Output
Crystal system: orthorhombic
Total magnetization in μB/cell: 4.28
Calculated volume in A^3/atom: 15.4
Formation energy without anion corrections in eV/atom: 0.63

***

This record from the Alexandria database describes an optimized crystal structure of TaFe2Br. The functional is GGA-PBE.

Structure (CIF):
```
data_TaFe2Br
_cell_length_a 3.624
_cell_length_b 3.624
_cell_length_c 6.564
_cell_angle_alpha 90.00
_cell_angle_beta 90.00
_cell_angle_gamma 120.00
_space_group_name_H-M_alt 'P 1'
_space_group_IT_number 1
_space_group_name_Hall 'P 1'
loop_
_atom_site_label
_atom_site_fract_x
_atom_site_fract_y
_atom_site_fract_z
Ta1 0.000 0.000 0.000
Fe1 0.333 0.667 0.181
Fe2 0.667 0.333 0.313
Br1 0.667 0.333 0.693
```

Output
Crystal system: trigonal
Total magnetization in μB/cell: 2.71
Calculated volume in A^3/atom: 18.7
Formation energy without anion corrections in eV/atom: 0.26

***

This record from the Alexandria database describes an optimized crystal structure of TaFe2TeBr. The functional is GGA-PBE.

Structure (CIF):
```
data_TaFe2TeBr
_cell_length_a 4.749
_cell_length_b 4.749
_cell_length_c 4.847
_cell_angle_alpha 90.00
_cell_angle_beta 90.00
_cell_angle_gamma 90.00
_space_group_name_H-M_alt 'P 1'
_space_group_IT_number 1
_space_group_name_Hall 'P 1'
loop_
_atom_site_label
_atom_site_fract_x
_atom_site_fract_y
_atom_site_fract_z
Ta1 0.000 0.000 0.000
Fe1 0.000 0.500 0.000
Fe2 0.500 0.000 0.000
Te1 0.500 0.500 0.500
Br1 0.000 0.000 0.500
```

Output
Crystal system: tetragonal
Total magnetization in μB/cell: 0.10
Calculated volume in A^3/atom: 21.9
Formation energy without anion corrections in eV/atom: 1.36

***

This record from the Alexandria database describes an optimized crystal structure of TaFeTe2Br. The functional is GGA-PBE.

Structure (CIF):
```
data_TaFeTe2Br
_cell_length_a 5.657
_cell_length_b 5.657
_cell_length_c 4.715
_cell_angle_alpha 90.00
_cell_angle_beta 90.00
_cell_angle_gamma 90.00
_space_group_name_H-M_alt 'P 1'
_space_group_IT_number 1
_space_group_name_Hall 'P 1'
loop_
_atom_site_label
_atom_site_fract_x
_atom_site_fract_y
_atom_site_fract_z
Ta1 0.000 0.000 0.000
Fe1 0.500 0.500 0.000
Te1 0.000 0.500 0.500
Te2 0.500 0.000 0.500
Br1 0.000 0.000 0.500
```

Output
Crystal system: tetragonal
Total magnetization in μB/cell: 2.38
Calculated volume in A^3/atom: 30.2
Formation energy without anion corrections in eV/atom: 1.76

***

This record from the Alexandria database describes an optimized crystal structure of ZrTaFeBr2. The functional is GGA-PBE.

Structure (CIF):
```
data_ZrTaFeBr2
_cell_length_a 4.693
_cell_length_b 4.693
_cell_length_c 4.796
_cell_angle_alpha 90.00
_cell_angle_beta 90.00
_cell_angle_gamma 90.00
_space_group_name_H-M_alt 'P 1'
_space_group_IT_number 1
_space_group_name_Hall 'P 1'
loop_
_atom_site_label
_atom_site_fract_x
_atom_site_fract_y
_atom_site_fract_z
Zr1 0.000 0.000 0.000
Ta1 0.500 0.500 0.000
Fe1 0.500 0.500 0.500
Br1 0.000 0.500 0.500
Br2 0.500 0.000 0.500
```

Output
Crystal system: tetragonal
Total magnetization in μB/cell: 0.96
Calculated volume in A^3/atom: 21.1
Formation energy without anion corrections in eV/atom: 0.90